1.
A relaxed Sr2TaNO3 crystal, computed with PBE.

Values from the calculation:
Space group: No. 63
Raw total energy (hartree per atom): -0.29456

Unit cell a=6.8699 b=6.8699 c=5.7236 alpha=90.00 beta=90.00 gamma=49.81
Closest atoms and distances in Å follow each position.
Atoms (fractional coordinates):
Sr: 0.0865 0.6253 0.7500  4 O 2.44-2.66
Sr: 0.3747 0.9135 0.7500  4 O 2.44-2.66
Sr: 0.6253 0.0865 0.2500  4 O 2.44-2.66
Sr: 0.9135 0.3747 0.2500  4 O 2.44-2.66
Ta: 0.2668 0.7332 0.2500  2 N 1.97, 4 O 2.03-2.11
Ta: 0.7332 0.2668 0.7500  2 N 1.97, 4 O 2.03-2.11
N: 0.5000 0.5000 0.0000  2 Ta 1.97
N: 0.5000 0.5000 0.5000  2 Ta 1.97
O: 0.0000 0.0000 0.0000  2 Ta 2.11
O: 0.0000 0.0000 0.5000  2 Ta 2.11
O: 0.0609 0.6159 0.2500  1 Ta 2.03
O: 0.3841 0.9391 0.2500  1 Ta 2.03
O: 0.6159 0.0609 0.7500  1 Ta 2.03
O: 0.9391 0.3841 0.7500  1 Ta 2.03

---

2.
A relaxed PrAsAuO crystal, computed with PBE.

Values from the calculation:
Space group: No. 26
Raw total energy (hartree per atom): -0.20078

Unit cell a=4.1374 b=6.0827 c=7.0006 alpha=90.00 beta=90.00 gamma=90.00
Closest atoms and distances in Å follow each position.
Atoms (fractional coordinates):
Pr: 0.0000 0.2236 0.0000  2 O 2.23-2.28
Pr: 0.0000 0.7764 0.5000  2 O 2.23-2.28
As: 0.5000 0.3886 0.6909  2 Au 2.49-2.53
As: 0.5000 0.6114 0.1909  2 Au 2.49-2.53
Au: 0.5000 0.2458 0.3514  2 O 2.42, 2 As 2.49-2.53
Au: 0.5000 0.7542 0.8514  2 O 2.42, 2 As 2.49-2.53
O: 0.0000 0.0523 0.2904  2 Pr 2.23-2.28, 2 Au 2.42
O: 0.0000 0.9477 0.7904  2 Pr 2.23-2.28, 2 Au 2.42

---

3.
A relaxed ThCl crystal, computed with PBE.

Values from the calculation:
Space group: No. 225
Raw total energy (hartree per atom): -0.20202

Unit cell a=4.0433 b=4.0433 c=4.0433 alpha=60.00 beta=60.00 gamma=60.00
Closest atoms and distances in Å follow each position.
Atoms (fractional coordinates):
Th: 0.0000 0.0000 0.0000  6 Cl 2.86
Cl: 0.5000 0.5000 0.5000  6 Th 2.86

---

4.
A relaxed BiPt8 crystal, computed with PBE.

Values from the calculation:
Space group: No. 156
E above lowest polymorph (meV/atom): 275.1
Raw total energy (hartree per atom): -0.20515

Unit cell a=2.9210 b=2.9210 c=32.1817 alpha=90.00 beta=90.00 gamma=120.00
Closest atoms and distances in Å follow each position.
Atoms (fractional coordinates):
Bi: 0.0000 0.0000 0.0000  6 Bi 2.92, 3 Pt 2.93
Pt: 0.0000 0.0000 0.2135  12 Pt 2.77-2.92
Pt: 0.0000 0.0000 0.4174  12 Pt 2.74-2.92
Pt: 0.3333 0.6667 0.1449  12 Pt 2.78-2.92
Pt: 0.3333 0.6667 0.3498  12 Pt 2.75-2.92
Pt: 0.3333 0.6667 0.5532  9 Pt 2.78-2.92
Pt: 0.6667 0.3333 0.0745  9 Pt 2.83-2.92, 3 Bi 2.93
Pt: 0.6667 0.3333 0.2817  12 Pt 2.76-2.92
Pt: 0.6667 0.3333 0.4846  12 Pt 2.74-2.92

---

5.
A relaxed YCuReBi crystal, computed with PBE.

Values from the calculation:
Space group: No. 216
E above lowest polymorph (meV/atom): 0.0
Raw total energy (hartree per atom): -0.22872

Unit cell a=4.8337 b=4.8337 c=4.8337 alpha=60.00 beta=60.00 gamma=60.00
Closest atoms and distances in Å follow each position.
Atoms (fractional coordinates):
Y: 0.0000 0.0000 0.0000  4 Re 2.96, 4 Cu 2.96
Cu: 0.2500 0.2500 0.2500  4 Bi 2.96, 4 Y 2.96
Re: 0.7500 0.7500 0.7500  4 Bi 2.96, 4 Y 2.96
Bi: 0.5000 0.5000 0.5000  4 Re 2.96, 4 Cu 2.96

---

6.
A relaxed YGa2Ir crystal, computed with PBE.

Values from the calculation:
Space group: No. 216
Raw total energy (hartree per atom): -0.21099

Unit cell a=4.6969 b=4.6969 c=4.6969 alpha=60.00 beta=60.00 gamma=60.00
Closest atoms and distances in Å follow each position.
Atoms (fractional coordinates):
Y: 0.0000 0.0000 0.0000  4 Ga 2.88, 4 Ir 2.88
Ga: 0.5000 0.5000 0.5000  4 Ga 2.88, 4 Ir 2.88
Ga: 0.7500 0.7500 0.7500  4 Y 2.88, 4 Ga 2.88
Ir: 0.2500 0.2500 0.2500  4 Ga 2.88, 4 Y 2.88

---

7.
A relaxed KGd crystal, computed with PBE.

Values from the calculation:
Space group: No. 187
E above lowest polymorph (meV/atom): 0.0
Raw total energy (hartree per atom): -0.08783

Unit cell a=3.6595 b=3.6595 c=7.1673 alpha=90.00 beta=90.00 gamma=120.00
Closest atoms and distances in Å follow each position.
Atoms (fractional coordinates):
K: 0.0000 0.0000 0.0000  6 K 3.66
Gd: 0.3333 0.6667 0.5000  6 Gd 3.66

---

8.
A relaxed AcMg2Au crystal, computed with PBE.

Values from the calculation:
Space group: No. 63
Raw total energy (hartree per atom): -0.11483

Unit cell a=5.9689 b=5.9689 c=8.2544 alpha=90.00 beta=90.00 gamma=134.51
Closest atoms and distances in Å follow each position.
Atoms (fractional coordinates):
Ac: 0.0573 0.9427 0.7500  3 Au 3.15-3.29
Ac: 0.9427 0.0573 0.2500  3 Au 3.15-3.29
Mg: 0.3456 0.6544 0.5567  3 Au 2.84-2.92
Mg: 0.3456 0.6544 0.9433  3 Au 2.84-2.92
Mg: 0.6544 0.3456 0.0567  3 Au 2.84-2.92
Mg: 0.6544 0.3456 0.4433  3 Au 2.84-2.92
Au: 0.2291 0.7709 0.2500  6 Mg 2.84-2.92, 1 Ac 3.15
Au: 0.7709 0.2291 0.7500  6 Mg 2.84-2.92, 1 Ac 3.15

---

9.
A relaxed Sc3GaNi8 crystal, computed with PBE.

Values from the calculation:
Space group: No. 160
Raw total energy (hartree per atom): -0.22186

Unit cell a=8.3956 b=8.3956 c=8.3956 alpha=33.48 beta=33.48 gamma=33.48
Closest atoms and distances in Å follow each position.
Atoms (fractional coordinates):
Sc: 0.0000 0.0000 0.0000  12 Ni 2.76-2.89, 3 Ga 2.90, 1 Sc 3.04
Sc: 0.1282 0.1282 0.1282  12 Ni 2.83-2.86, 4 Sc 3.03-3.04
Sc: 0.5109 0.5109 0.5109  12 Ni 2.76-2.98, 1 Ga 2.92, 3 Sc 3.03
Ga: 0.6338 0.6338 0.6338  12 Ni 2.74-2.89, 4 Sc 2.90-2.92
Ni: 0.0662 0.5669 0.5669  6 Ni 2.42-2.43
Ni: 0.0676 0.0676 0.5652  6 Ni 2.41-2.43
Ni: 0.0676 0.5652 0.0676  6 Ni 2.41-2.43
Ni: 0.3164 0.3164 0.3164  6 Ni 2.41-2.43
Ni: 0.5652 0.0676 0.0676  6 Ni 2.41-2.43
Ni: 0.5669 0.0662 0.5669  6 Ni 2.42-2.43
Ni: 0.5669 0.5669 0.0662  6 Ni 2.42-2.43
Ni: 0.8164 0.8164 0.8164  6 Ni 2.42-2.43

---

10.
A relaxed HfTlAg3Te4 crystal, computed with PBE.

Values from the calculation:
Space group: No. 215
E above lowest polymorph (meV/atom): 0.0
Raw total energy (hartree per atom): -0.14939

Unit cell a=6.8029 b=6.8029 c=6.8029 alpha=90.00 beta=90.00 gamma=90.00
Closest atoms and distances in Å follow each position.
Atoms (fractional coordinates):
Hf: 0.0000 0.0000 0.0000  4 Te 2.73
Tl: 0.5000 0.5000 0.5000  4 Te 3.16
Ag: 0.0000 0.0000 0.5000  4 Te 2.88
Ag: 0.0000 0.5000 0.0000  4 Te 2.88
Ag: 0.5000 0.0000 0.0000  4 Te 2.88
Te: 0.2315 0.2315 0.7685  1 Hf 2.73, 3 Ag 2.88
Te: 0.2315 0.7685 0.2315  1 Hf 2.73, 3 Ag 2.88
Te: 0.7685 0.2315 0.2315  1 Hf 2.73, 3 Ag 2.88
Te: 0.7685 0.7685 0.7685  1 Hf 2.73, 3 Ag 2.88

---

11.
A relaxed Li2NiH6Ir crystal, computed with PBE.

Values from the calculation:
Space group: No. 225
Raw total energy (hartree per atom): -0.15154

Unit cell a=4.7138 b=4.7138 c=4.7138 alpha=60.00 beta=60.00 gamma=60.00
Closest atoms and distances in Å follow each position.
Atoms (fractional coordinates):
Li: 0.2500 0.2500 0.2500  12 H 2.36
Li: 0.7500 0.7500 0.7500  12 H 2.36
Ni: 0.0000 0.0000 0.0000  6 H 1.63
H: 0.2449 0.2449 0.7551  1 Ni 1.63, 1 Ir 1.70
H: 0.2449 0.7551 0.2449  1 Ni 1.63, 1 Ir 1.70
H: 0.2449 0.7551 0.7551  1 Ni 1.63, 1 Ir 1.70
H: 0.7551 0.2449 0.2449  1 Ni 1.63, 1 Ir 1.70
H: 0.7551 0.2449 0.7551  1 Ni 1.63, 1 Ir 1.70
H: 0.7551 0.7551 0.2449  1 Ni 1.63, 1 Ir 1.70
Ir: 0.5000 0.5000 0.5000  6 H 1.70

---

no.,magnetization (μB/atom)
1,0.00
2,0.00
3,0.00
4,0.04
5,0.00
6,0.00
7,0.03
8,0.00
9,0.00
10,0.00
11,0.00